Here is a relaxed Li3ScPt crystal from Alexandria. Energies are from PBE.

Values from the calculation:
DOS(E_F): 3.38 states/eV/cell
energy of formation from the pure elements: 0.062 eV per atom
energy above the most stable polymorph in this dataset: 0.0 meV per atom
V: 19.53 A^3/atom
total magnetization: 0.000 μB per formula unit

a b c (Å): 4.6047 4.6047 4.6047
angles (deg): 90.00 90.00 90.00
With the nearest neighbours (Å) after each atom.
Fractional positions:
Li (0.0000, 0.0000, 0.5000)  2 Pt 2.30
Li (0.0000, 0.5000, 0.0000)  2 Pt 2.30
Li (0.5000, 0.0000, 0.0000)  2 Pt 2.30
Sc (0.5000, 0.5000, 0.5000)  12 Li 3.26
Pt (0.0000, 0.0000, 0.0000)  6 Li 2.30